VASP calculation (PBE-GGA) on an optimized crystal structure of HoIO.

a = 3.7700 Å, b = 3.7700 Å, c = 5.9858 Å
α = 90.00°, β = 90.00°, γ = 120.00°
Fractional coordinates of all 3 atoms:
Ho: 0.0000 0.0000 0.0000
I: 0.3333 0.6667 0.6206
O: 0.6667 0.3333 0.0795

Uncorrected energy = -6.1335 eV/atom
DOS at the Fermi energy = 0.00 states/eV per cell
Space group = No. 156